Record 1
The following is a PBE calculation of a relaxed structure of BaZrSe2, from Alexandria.

Computed properties:
- Distance to the lowest polymorph of the same formula: 0.271 eV per atom
- Space group: Immm, No. 71
- Size of the total moment: 0.0 μB per cell
- Formation energy from raw total energies: -1.1862 eV/atom
- Final energy: -22.2 eV for the cell shown
- Theoretical density: 5.3 g/cm3

Cell lengths 5.990, 5.990, 5.990 Å; angles 141.61, 110.64, 82.17 degrees
Element x y z (fractional)
Ba 0.000 0.000 0.000
Zr 0.500 0.500 0.000
Se 0.300 0.800 0.500
Se 0.700 0.200 0.500

***

Record 2
The following is a PBE calculation of a relaxed structure of SmIn2IO8, from Alexandria.

Computed properties:
- Space group: P2/m, No. 10
- Size of the total moment: 0.0 μB per cell
- Formation energy from raw total energies: -1.4114 eV/atom
- Final energy: -68.3 eV for the cell shown
- Theoretical density: 6.3 g/cm3

Cell lengths 4.943, 6.813, 4.944 Å; angles 90.00, 90.05, 90.00 degrees
Element x y z (fractional)
Sm 0.000 0.000 0.000
In 0.500 0.250 0.500
In 0.500 0.750 0.500
I 0.000 0.500 0.000
O 0.185 0.294 0.817
O 0.185 0.706 0.817
O 0.280 0.500 0.281
O 0.315 0.000 0.317
O 0.685 0.000 0.683
O 0.720 0.500 0.719
O 0.815 0.294 0.183
O 0.815 0.706 0.183

***

Record 3
The following is a PBE calculation of a relaxed structure of NpRh2, from Alexandria.

Computed properties:
- Space group: C2/m, No. 12
- Energy of formation from the pure elements: -0.34 eV per atom
- Size of the total moment: 5.6 μB per cell
- Final energy: -57.3 eV for the cell shown
- Theoretical density: 14.0 g/cm3

Cell lengths 4.981, 4.981, 5.794 Å; angles 101.08, 101.08, 48.44 degrees
Element x y z (fractional)
Np 0.147 0.147 0.294
Np 0.853 0.853 0.706
Rh 0.175 0.175 0.812
Rh 0.500 0.500 0.000
Rh 0.500 0.500 0.500
Rh 0.825 0.825 0.188

***

Record 4
The following is a PBE calculation of a relaxed structure of TlAs2Ir, from Alexandria.

Computed properties:
- Distance to the lowest polymorph of the same formula: 0.363 eV per atom
- Space group: P4mm, No. 99
- Energy of formation from the pure elements: 0.29 eV per atom
- Size of the total moment: 0.0 μB per cell
- Final energy: -19.4 eV for the cell shown
- Theoretical density: 10.5 g/cm3

Cell lengths 3.381, 3.381, 7.534 Å; angles 90.00, 90.00, 90.00 degrees
Element x y z (fractional)
Tl 0.000 0.000 0.000
As 0.000 0.000 0.568
As 0.500 0.500 0.340
Ir 0.500 0.500 0.682

***

Record 5
The following is a PBE calculation of a relaxed structure of Ta2PdCO, from Alexandria.

Computed properties:
- Space group: P4/mmm, No. 123
- Size of the total moment: 0.0 μB per cell
- Formation energy from raw total energies: 1.8729 eV/atom
- Final energy: -33.7 eV for the cell shown
- Theoretical density: 9.2 g/cm3

Cell lengths 4.938, 4.938, 3.675 Å; angles 90.00, 90.00, 90.00 degrees
Element x y z (fractional)
Ta 0.000 0.500 0.000
Ta 0.500 0.000 0.000
Pd 0.000 0.000 0.000
C 0.000 0.000 0.500
O 0.500 0.500 0.500

***

Record 6
The following is a PBE calculation of a relaxed structure of Pm3PrGe4, from Alexandria.

Computed properties:
- Space group: Immm, No. 71
- Energy of formation from the pure elements: -0.65 eV per atom
- Size of the total moment: 0.0 μB per cell
- Final energy: -42.7 eV for the cell shown
- Theoretical density: 6.6 g/cm3

Cell lengths 9.047, 9.047, 9.047 Å; angles 153.95, 137.36, 50.65 degrees
Element x y z (fractional)
Pm 0.000 0.000 0.000
Pm 0.303 0.803 0.500
Pm 0.697 0.197 0.500
Pr 0.500 0.500 0.000
Ge 0.057 0.368 0.689
Ge 0.321 0.632 0.689
Ge 0.679 0.368 0.311
Ge 0.943 0.632 0.311

***

Record 7
The following is a PBE calculation of a relaxed structure of MgTiBr2, from Alexandria.

Computed properties:
- Distance to the lowest polymorph of the same formula: 0.256 eV per atom
- Space group: I-42d, No. 122
- Size of the total moment: 4.0 μB per cell
- Formation energy from raw total energies: -0.3610 eV/atom
- Final energy: -28.6 eV for the cell shown
- Theoretical density: 3.2 g/cm3

Cell lengths 7.025, 7.025, 7.025 Å; angles 100.84, 100.84, 128.61 degrees
Element x y z (fractional)
Mg 0.000 0.000 0.000
Mg 0.750 0.250 0.500
Ti 0.250 0.750 0.500
Ti 0.500 0.500 0.000
Br 0.256 0.125 0.631
Br 0.375 0.744 0.869
Br 0.494 0.625 0.369
Br 0.875 0.506 0.131

***

Record 8
The following is a PBE calculation of a relaxed structure of Dy6Y4Tm19, from Alexandria.

Computed properties:
- Space group: I23, No. 197
- Energy of formation from the pure elements: 0.40 eV per atom
- Size of the total moment: 0.0 μB per cell
- Final energy: -126.8 eV for the cell shown
- Theoretical density: 8.0 g/cm3

Cell lengths 10.689, 10.689, 10.689 Å; angles 109.47, 109.47, 109.47 degrees
Element x y z (fractional)
Dy 0.130 0.500 0.630
Dy 0.370 0.870 0.500
Dy 0.500 0.370 0.870
Dy 0.500 0.630 0.130
Dy 0.630 0.130 0.500
Dy 0.870 0.500 0.370
Y 0.000 0.000 0.357
Y 0.000 0.357 0.000
Y 0.357 0.000 0.000
Y 0.643 0.643 0.643
Tm 0.000 0.000 0.000
Tm 0.000 0.262 0.262
Tm 0.000 0.738 0.738
Tm 0.015 0.211 0.676
Tm 0.196 0.985 0.660
Tm 0.211 0.676 0.015
Tm 0.262 0.000 0.262
Tm 0.262 0.262 0.000
Tm 0.324 0.535 0.340
Tm 0.340 0.324 0.535
Tm 0.465 0.789 0.804
Tm 0.535 0.340 0.324
Tm 0.660 0.196 0.985
Tm 0.676 0.015 0.211
Tm 0.738 0.000 0.738
Tm 0.738 0.738 0.000
Tm 0.789 0.804 0.465
Tm 0.804 0.465 0.789
Tm 0.985 0.660 0.196

***

Record 9
The following is a PBE calculation of a relaxed structure of Sc2PtAu, from Alexandria.

Computed properties:
- Space group: Amm2, No. 38
- Energy of formation from the pure elements: -1.00 eV per atom
- Size of the total moment: 0.0 μB per cell
- Final energy: -26.0 eV for the cell shown
- Theoretical density: 10.2 g/cm3

Cell lengths 4.492, 5.394, 5.394 Å; angles 36.74, 90.00, 90.00 degrees
Element x y z (fractional)
Sc 0.000 0.000 0.000
Sc 0.500 0.282 0.282
Pt 0.500 0.550 0.550
Au 0.000 0.729 0.729

***

Record 10
The following is a PBE calculation of a relaxed structure of K3ZrPd, from Alexandria.

Computed properties:
- Distance to the lowest polymorph of the same formula: 0.000 eV per atom
- Space group: Pm-3m, No. 221
- Energy of formation from the pure elements: 0.96 eV per atom
- Size of the total moment: 3.0 μB per cell
- Final energy: -12.2 eV for the cell shown
- Theoretical density: 2.2 g/cm3

Cell lengths 6.150, 6.150, 6.150 Å; angles 90.00, 90.00, 90.00 degrees
Element x y z (fractional)
K 0.000 0.000 0.500
K 0.000 0.500 0.000
K 0.500 0.000 0.000
Zr 0.500 0.500 0.500
Pd 0.000 0.000 0.000